DFT (PBE) results for a geometry-optimized Mn2AlB2 structure.

Lattice parameters (Å, degrees): 5.593 5.593 2.827 90.00 90.00 90.00
Element x y z (fractional)
B (0.114, 0.386, 0.000)
Mn (0.329, 0.171, 0.500)
B (0.886, 0.614, 0.000)
Al (0.000, 0.000, 0.000)
Mn (0.171, 0.671, 0.500)
B (0.614, 0.114, 0.000)
Al (0.500, 0.500, 0.000)
Mn (0.671, 0.829, 0.500)
B (0.386, 0.886, 0.000)
Mn (0.829, 0.329, 0.500)

formation energy from the elements = -212 kJ/mol of formula units
raw total energy = -75.3 eV for the cell shown